The following is a meta-GGA SCAN calculation of a PBEsol-optimized structure of K2Ga2Au, from the Alexandria database.

Structure (CIF):
```
data_K2Ga2Au
_chemical_formula_sum 'K4 Ga4 Au2'
_space_group_name_H-M_alt 'P 1'
_space_group_IT_number 1
_cell_length_a 5.661
_cell_length_b 6.749
_cell_length_c 6.749
_cell_angle_alpha 90.00
_cell_angle_beta 90.00
_cell_angle_gamma 90.00
loop_
_space_group_symop_operation_xyz
'x,y,z'
loop_
_atom_site_label
_atom_site_type_symbol
_atom_site_fract_x
_atom_site_fract_y
_atom_site_fract_z
Ga1 Ga 0.000 0.633 0.133
Ga2 Ga 0.000 0.367 0.867
Ga3 Ga 0.000 0.867 0.633
Ga4 Ga 0.000 0.133 0.367
Au1 Au 0.000 0.500 0.500
Au2 Au 0.000 0.000 0.000
K1 K 0.500 0.812 0.312
K2 K 0.500 0.688 0.812
K3 K 0.500 0.188 0.688
K4 K 0.500 0.312 0.188
```

## Properties
Crystal system   tetragonal
SG   P4/mbm, No. 127
Formation energy from the elements   -1.00 eV per formula unit

The following is a meta-GGA SCAN calculation of a PBEsol-optimized structure of KGaAu2, from the Alexandria database.

Structure (CIF):
```
data_KGaAu2
_chemical_formula_sum 'K2 Ga2 Au4'
_space_group_name_H-M_alt 'P 1'
_space_group_IT_number 1
_cell_length_a 5.333
_cell_length_b 5.333
_cell_length_c 9.232
_cell_angle_alpha 106.79
_cell_angle_beta 106.79
_cell_angle_gamma 90.00
loop_
_space_group_symop_operation_xyz
'x,y,z'
loop_
_atom_site_label
_atom_site_type_symbol
_atom_site_fract_x
_atom_site_fract_y
_atom_site_fract_z
Ga1 Ga 0.000 0.000 0.000
Ga2 Ga 0.250 0.750 0.500
Au1 Au 0.625 0.875 0.750
Au2 Au 0.125 0.875 0.250
Au3 Au 0.125 0.375 0.250
Au4 Au 0.125 0.875 0.750
K1 K 0.750 0.250 0.500
K2 K 0.500 0.500 0.000
```

## Properties
Crystal system   tetragonal
SG   I4_1/amd, No. 141
Formation energy from the elements   -1.33 eV per formula unit

The following is a meta-GGA SCAN calculation of a PBEsol-optimized structure of LaGaAu2, from the Alexandria database.

Structure (CIF):
```
data_LaGaAu2
_chemical_formula_sum 'La1 Ga1 Au2'
_space_group_name_H-M_alt 'P 1'
_space_group_IT_number 1
_cell_length_a 4.940
_cell_length_b 4.940
_cell_length_c 4.940
_cell_angle_alpha 60.00
_cell_angle_beta 60.00
_cell_angle_gamma 60.00
loop_
_space_group_symop_operation_xyz
'x,y,z'
loop_
_atom_site_label
_atom_site_type_symbol
_atom_site_fract_x
_atom_site_fract_y
_atom_site_fract_z
Au1 Au 0.750 0.750 0.750
Au2 Au 0.250 0.250 0.250
Ga1 Ga 0.000 0.000 0.000
La1 La 0.500 0.500 0.500
```

## Properties
Crystal system   cubic
SG   Fm-3m, No. 225
Formation energy from the elements   -2.91 eV per formula unit

The following is a meta-GGA SCAN calculation of a PBEsol-optimized structure of Li2GaAu, from the Alexandria database.

Structure (CIF):
```
data_Li2GaAu
_chemical_formula_sum 'Li4 Ga2 Au2'
_space_group_name_H-M_alt 'P 1'
_space_group_IT_number 1
_cell_length_a 5.003
_cell_length_b 5.706
_cell_length_c 5.706
_cell_angle_alpha 78.92
_cell_angle_beta 64.00
_cell_angle_gamma 64.00
loop_
_space_group_symop_operation_xyz
'x,y,z'
loop_
_atom_site_label
_atom_site_type_symbol
_atom_site_fract_x
_atom_site_fract_y
_atom_site_fract_z
Li1 Li 0.375 0.514 0.986
Li2 Li 0.111 0.014 0.514
Li3 Li 0.875 0.486 0.014
Li4 Li 0.639 0.986 0.486
Au1 Au 0.000 0.000 0.000
Au2 Au 0.750 0.500 0.500
Ga1 Ga 0.500 0.000 0.000
Ga2 Ga 0.250 0.500 0.500
```

## Properties
Crystal system   tetragonal
SG   I-42d, No. 122
Formation energy from the elements   -1.29 eV per formula unit

The following is a meta-GGA SCAN calculation of a PBEsol-optimized structure of Li3GaAu, from the Alexandria database.

Structure (CIF):
```
data_Li3GaAu
_chemical_formula_sum 'Li3 Ga1 Au1'
_space_group_name_H-M_alt 'P 1'
_space_group_IT_number 1
_cell_length_a 4.739
_cell_length_b 4.739
_cell_length_c 4.739
_cell_angle_alpha 90.00
_cell_angle_beta 90.00
_cell_angle_gamma 90.00
loop_
_space_group_symop_operation_xyz
'x,y,z'
loop_
_atom_site_label
_atom_site_type_symbol
_atom_site_fract_x
_atom_site_fract_y
_atom_site_fract_z
Li1 Li 0.500 0.000 0.000
Li2 Li 0.000 0.500 0.000
Li3 Li 0.000 0.000 0.500
Au1 Au 0.000 0.000 0.000
Ga1 Ga 0.500 0.500 0.500
```

## Properties
Crystal system   cubic
SG   Pm-3m, No. 221
Formation energy from the elements   -0.45 eV per formula unit

The following is a meta-GGA SCAN calculation of a PBEsol-optimized structure of Li2GaAu, from the Alexandria database.

Structure (CIF):
```
data_Li2GaAu
_chemical_formula_sum 'Li2 Ga1 Au1'
_space_group_name_H-M_alt 'P 1'
_space_group_IT_number 1
_cell_length_a 4.338
_cell_length_b 4.338
_cell_length_c 4.338
_cell_angle_alpha 60.00
_cell_angle_beta 60.00
_cell_angle_gamma 60.00
loop_
_space_group_symop_operation_xyz
'x,y,z'
loop_
_atom_site_label
_atom_site_type_symbol
_atom_site_fract_x
_atom_site_fract_y
_atom_site_fract_z
Li1 Li 0.500 0.500 0.500
Li2 Li 0.750 0.750 0.750
Ga1 Ga 0.000 0.000 0.000
Au1 Au 0.250 0.250 0.250
```

## Properties
Crystal system   cubic
SG   F-43m, No. 216
Formation energy from the elements   -2.59 eV per formula unit

The following is a meta-GGA SCAN calculation of a PBEsol-optimized structure of MgGaAu, from the Alexandria database.

Structure (CIF):
```
data_MgGaAu
_chemical_formula_sum 'Mg3 Ga3 Au3'
_space_group_name_H-M_alt 'P 1'
_space_group_IT_number 1
_cell_length_a 3.386
_cell_length_b 7.328
_cell_length_c 7.328
_cell_angle_alpha 120.00
_cell_angle_beta 90.00
_cell_angle_gamma 90.00
loop_
_space_group_symop_operation_xyz
'x,y,z'
loop_
_atom_site_label
_atom_site_type_symbol
_atom_site_fract_x
_atom_site_fract_y
_atom_site_fract_z
Ga1 Ga 0.500 0.719 0.719
Ga2 Ga 0.500 0.281 0.000
Ga3 Ga 0.500 0.000 0.281
Au1 Au 0.500 0.667 0.333
Au2 Au 0.500 0.333 0.667
Au3 Au 0.000 0.000 0.000
Mg1 Mg 0.000 0.000 0.616
Mg2 Mg 0.000 0.384 0.384
Mg3 Mg 0.000 0.616 0.000
```

## Properties
Crystal system   hexagonal
SG   P-62m, No. 189
Formation energy from the elements   -1.79 eV per formula unit

The following is a meta-GGA SCAN calculation of a PBEsol-optimized structure of Mg2GaAu2, from the Alexandria database.

Structure (CIF):
```
data_Mg2GaAu2
_chemical_formula_sum 'Mg4 Ga2 Au4'
_space_group_name_H-M_alt 'P 1'
_space_group_IT_number 1
_cell_length_a 3.707
_cell_length_b 7.044
_cell_length_c 7.044
_cell_angle_alpha 90.00
_cell_angle_beta 90.00
_cell_angle_gamma 90.00
loop_
_space_group_symop_operation_xyz
'x,y,z'
loop_
_atom_site_label
_atom_site_type_symbol
_atom_site_fract_x
_atom_site_fract_y
_atom_site_fract_z
Ga1 Ga 0.000 0.000 0.000
Ga2 Ga 0.000 0.500 0.500
Au1 Au 0.000 0.856 0.644
Au2 Au 0.000 0.356 0.856
Au3 Au 0.000 0.144 0.356
Au4 Au 0.000 0.644 0.144
Mg1 Mg 0.500 0.158 0.658
Mg2 Mg 0.500 0.342 0.158
Mg3 Mg 0.500 0.658 0.842
Mg4 Mg 0.500 0.842 0.342
```

## Properties
Crystal system   tetragonal
SG   P4/mbm, No. 127
Formation energy from the elements   -2.87 eV per formula unit

The following is a meta-GGA SCAN calculation of a PBEsol-optimized structure of Mg3GaAu, from the Alexandria database.

Structure (CIF):
```
data_Mg3GaAu
_chemical_formula_sum 'Mg3 Ga1 Au1'
_space_group_name_H-M_alt 'P 1'
_space_group_IT_number 1
_cell_length_a 5.044
_cell_length_b 5.044
_cell_length_c 5.044
_cell_angle_alpha 90.00
_cell_angle_beta 90.00
_cell_angle_gamma 90.00
loop_
_space_group_symop_operation_xyz
'x,y,z'
loop_
_atom_site_label
_atom_site_type_symbol
_atom_site_fract_x
_atom_site_fract_y
_atom_site_fract_z
Mg1 Mg 0.000 0.000 0.500
Mg2 Mg 0.500 0.000 0.000
Mg3 Mg 0.000 0.500 0.000
Ga1 Ga 0.500 0.500 0.500
Au1 Au 0.000 0.000 0.000
```

## Properties
Crystal system   cubic
SG   Pm-3m, No. 221
Formation energy from the elements   -0.70 eV per formula unit

The following is a meta-GGA SCAN calculation of a PBEsol-optimized structure of Mg2Ga2Au, from the Alexandria database.

Structure (CIF):
```
data_Mg2Ga2Au
_chemical_formula_sum 'Mg4 Ga4 Au2'
_space_group_name_H-M_alt 'P 1'
_space_group_IT_number 1
_cell_length_a 4.195
_cell_length_b 6.598
_cell_length_c 6.598
_cell_angle_alpha 90.00
_cell_angle_beta 90.00
_cell_angle_gamma 90.00
loop_
_space_group_symop_operation_xyz
'x,y,z'
loop_
_atom_site_label
_atom_site_type_symbol
_atom_site_fract_x
_atom_site_fract_y
_atom_site_fract_z
Au1 Au 0.000 0.500 0.500
Au2 Au 0.000 0.000 0.000
Ga1 Ga 0.000 0.633 0.133
Ga2 Ga 0.000 0.867 0.633
Ga3 Ga 0.000 0.133 0.367
Ga4 Ga 0.000 0.367 0.867
Mg1 Mg 0.500 0.671 0.829
Mg2 Mg 0.500 0.829 0.329
Mg3 Mg 0.500 0.329 0.171
Mg4 Mg 0.500 0.171 0.671
```

## Properties
Crystal system   tetragonal
SG   P4/mbm, No. 127
Formation energy from the elements   -2.02 eV per formula unit

The following is a meta-GGA SCAN calculation of a PBEsol-optimized structure of MgGaAu3, from the Alexandria database.

Structure (CIF):
```
data_MgGaAu3
_chemical_formula_sum 'Mg1 Ga1 Au3'
_space_group_name_H-M_alt 'P 1'
_space_group_IT_number 1
_cell_length_a 4.774
_cell_length_b 4.774
_cell_length_c 4.774
_cell_angle_alpha 90.00
_cell_angle_beta 90.00
_cell_angle_gamma 90.00
loop_
_space_group_symop_operation_xyz
'x,y,z'
loop_
_atom_site_label
_atom_site_type_symbol
_atom_site_fract_x
_atom_site_fract_y
_atom_site_fract_z
Au1 Au 0.000 0.500 0.000
Au2 Au 0.500 0.000 0.000
Au3 Au 0.000 0.000 0.500
Ga1 Ga 0.000 0.000 0.000
Mg1 Mg 0.500 0.500 0.500
```

## Properties
Crystal system   cubic
SG   Pm-3m, No. 221
Formation energy from the elements   0.36 eV per formula unit
E above lowest polymorph   0.00 eV/f.u.

The following is a meta-GGA SCAN calculation of a PBEsol-optimized structure of MgGa2Au2, from the Alexandria database.

Structure (CIF):
```
data_MgGa2Au2
_chemical_formula_sum 'Mg1 Ga2 Au2'
_space_group_name_H-M_alt 'P 1'
_space_group_IT_number 1
_cell_length_a 4.532
_cell_length_b 4.532
_cell_length_c 5.710
_cell_angle_alpha 113.38
_cell_angle_beta 113.38
_cell_angle_gamma 90.00
loop_
_space_group_symop_operation_xyz
'x,y,z'
loop_
_atom_site_label
_atom_site_type_symbol
_atom_site_fract_x
_atom_site_fract_y
_atom_site_fract_z
Au1 Au 0.750 0.250 0.500
Au2 Au 0.250 0.750 0.500
Mg1 Mg 0.000 0.000 0.000
Ga1 Ga 0.627 0.627 0.253
Ga2 Ga 0.373 0.373 0.747
```

## Properties
Crystal system   tetragonal
SG   I4/mmm, No. 139
Formation energy from the elements   -1.27 eV per formula unit